# NbV4Tc3 PBE-GGA optimized geometry
# calculated density	8.54	g/cm³
# E	-9.9931	eV/atom
# ΔH_f (0 K)	-288	meV per atom
data_NbV4Tc3
_chemical_formula_sum 'Nb1 V4 Tc3'
_space_group_name_H-M_alt 'P 4/m m m'
_space_group_IT_number 123
_space_group_name_Hall '-P 4 2'
_cell_length_a 3.044
_cell_length_b 3.044
_cell_length_c 12.404
_cell_angle_alpha 90.00
_cell_angle_beta 90.00
_cell_angle_gamma 90.00
loop_
_atom_site_label
_atom_site_type_symbol
_atom_site_fract_x
_atom_site_fract_y
_atom_site_fract_z
Nb1 Nb 0.000 0.000 0.000
V1 V 0.500 0.500 0.136
V2 V 0.500 0.500 0.379
Tc1 Tc 0.000 0.000 0.255
Tc2 Tc 0.000 0.000 0.500